First-principles (GGA-PBE) data for Na3Ag3Pb8 after structural relaxation, as listed in Alexandria.

Unit cell a=4.8416 b=9.4081 c=9.4081 alpha=81.44 beta=75.09 gamma=75.09
Fractional coordinates of all 14 atoms:
Na: 0.5000 0.5000 0.5000
Na: 0.7898 0.2102 0.2102
Na: 0.2102 0.7898 0.7898
Ag: 0.5000 0.0000 0.0000
Ag: 0.0000 0.8735 0.1265
Ag: 0.0000 0.1265 0.8735
Pb: 0.6385 0.0583 0.6647
Pb: 0.3615 0.9417 0.3353
Pb: 0.6385 0.6647 0.0583
Pb: 0.3615 0.3353 0.9417
Pb: 0.8759 0.7584 0.4898
Pb: 0.1241 0.2416 0.5102
Pb: 0.8759 0.4898 0.7584
Pb: 0.1241 0.5102 0.2416

formation energy from the elements	-0.029	eV/atom
total moment	0.0	μB per formula unit
DFT total energy	-42.58	eV for the cell shown
DOS at the Fermi energy	5.990	states/eV per cell
space-group type	Immm (71)